# 1
DFT (PBE-GGA) results for crystalline LiMg2Ru4 at its relaxed geometry.

Results
E = -35.617 eV per cell
calculated formation energy = 941 meV/atom

Cell: 4.0634 4.0634 7.2926 Å, 73.82 73.82 90.00°
Site moments in Bohr magnetons follow the coordinates.
Fractional coordinates of all 7 atoms:
Li 0.0000 0.0000 0.0000  0.00
Mg 0.6432 0.6432 0.7136  -0.01
Ru 0.8391 0.8391 0.3218  0.42
Ru 0.5000 0.0000 0.0000  0.04
Ru 0.1609 0.1609 0.6782  0.42
Ru 0.0000 0.5000 0.0000  0.04
Mg 0.3568 0.3568 0.2864  -0.01

***

# 2
DFT (PBE-GGA) results for crystalline Mn2AlRe at its relaxed geometry.

Results
E = -34.811 eV per cell
calculated formation energy = -70 meV/atom

Cell: 4.2123 4.2123 4.2123 Å, 60.00 60.00 60.00°
Site moments in Bohr magnetons follow the coordinates.
Fractional coordinates of all 4 atoms:
Al 0.5000 0.5000 0.5000  -0.03
Mn 0.2500 0.2500 0.2500  2.73
Mn 0.0000 0.0000 0.0000  1.51
Re 0.7500 0.7500 0.7500  -0.21

***

# 3
DFT (PBE-GGA) results for crystalline Tb5DyHoTm2 at its relaxed geometry.

Results
E = -79.726 eV per cell
calculated formation energy = 157 meV/atom

Cell: 5.5579 10.2805 10.4999 Å, 90.00 90.00 105.68°
Fractional coordinates of all 18 atoms:
Tb 0.4795 0.9589 0.7395
Tb 0.3888 0.7777 0.0232
Tb 0.0177 0.0354 0.0223
Dy 0.5873 0.1745 0.9558
Tb 0.9823 0.9646 0.5223
Tb 0.2994 0.5989 0.7074
Tm 0.8860 0.7720 0.8166
Ho 0.8007 0.6013 0.5112
Tb 0.5205 0.0411 0.2395
Tm 0.1104 0.2208 0.7377
Tb 0.2811 0.5623 0.3102
Tb 0.7006 0.4011 0.2074
Dy 0.4127 0.8255 0.4558
Tb 0.6112 0.2223 0.5232
Ho 0.1993 0.3987 0.0112
Tb 0.7189 0.4377 0.8102
Tm 0.1140 0.2280 0.3166
Tm 0.8896 0.7792 0.2377

***

# 4
DFT (PBE-GGA) results for crystalline RbAgHg4 at its relaxed geometry.

Results
E = -5.135 eV per cell
calculated formation energy = -18 meV/atom
excess energy over the best structure of this formula in the dataset = 0.074 eV/atom

Cell: 6.3292 6.3292 6.3292 Å, 60.00 60.00 60.00°
Fractional coordinates of all 6 atoms:
Ag 0.0000 0.0000 0.0000
Rb 0.2500 0.2500 0.2500
Hg 0.1228 0.6257 0.6257
Hg 0.6257 0.6257 0.1228
Hg 0.6257 0.6257 0.6257
Hg 0.6257 0.1228 0.6257

***

# 5
DFT (PBE-GGA) results for crystalline CrSn3C at its relaxed geometry.

Results
E = -25.616 eV per cell
calculated formation energy = 1048 meV/atom
excess energy over the best structure of this formula in the dataset = 0.000 eV/atom

Cell: 4.7412 4.7412 4.7412 Å, 90.00 90.00 90.00°
Site moments in Bohr magnetons follow the coordinates.
Fractional coordinates of all 5 atoms:
Sn 0.0000 0.5000 0.0000  0.05
C 0.0000 0.0000 0.0000  -0.08
Sn 0.5000 0.0000 0.0000  0.04
Sn 0.0000 0.0000 0.5000  0.03
Cr 0.5000 0.5000 0.5000  -3.85

***

# 6
DFT (PBE-GGA) results for crystalline Pr2PaAlPt6 at its relaxed geometry.

Results
E = -67.589 eV per cell
calculated formation energy = -855 meV/atom

Cell: 6.9608 6.8975 8.8107 Å, 50.83 50.21 82.41°
Fractional coordinates of all 10 atoms:
Pt 0.2450 0.7543 0.1449
Al 0.0000 0.0000 0.0000
Pt 0.2479 0.2434 0.5130
Pt 0.7564 0.7524 0.0042
Pa 0.5000 0.5000 0.0000
Pt 0.7550 0.2457 0.8551
Pt 0.7521 0.7566 0.4870
Pr 0.7329 0.2673 0.4451
Pr 0.2671 0.7327 0.5549
Pt 0.2436 0.2476 0.9958

***

# 7
DFT (PBE-GGA) results for crystalline VFe2HgBr at its relaxed geometry.

Results
E = -19.909 eV per cell
uncorrected formation energy = 1.622 eV/atom

Cell: 4.8864 5.8586 4.8864 Å, 90.00 90.00 90.00°
Site moments in Bohr magnetons follow the coordinates.
Fractional coordinates of all 5 atoms:
Br 0.0000 0.5000 0.0000  0.06
V 0.5000 0.5000 0.5000  -3.12
Hg 0.0000 0.0000 0.0000  -0.02
Fe 0.5000 0.0000 0.0000  2.88
Fe 0.0000 0.0000 0.5000  3.44

***

# 8
DFT (PBE-GGA) results for crystalline NaAcPmHg at its relaxed geometry.

Results
E = -10.749 eV per cell
calculated formation energy = -67 meV/atom

Cell: 5.6601 5.6601 5.6601 Å, 60.00 60.00 60.00°
Site moments in Bohr magnetons follow the coordinates.
Fractional coordinates of all 4 atoms:
Ac 0.2500 0.2500 0.2500  0.09
Hg 0.5000 0.5000 0.5000  0.01
Na 0.0000 0.0000 0.0000  0.01
Pm 0.7500 0.7500 0.7500  0.18

***

# 9
DFT (PBE-GGA) results for crystalline Sr8Ca at its relaxed geometry.

Results
E = -15.420 eV per cell
calculated formation energy = 4 meV/atom
excess energy over the best structure of this formula in the dataset = 0.000 eV/atom

Cell: 5.9595 9.4457 9.4457 Å, 84.29 71.61 71.61°
Fractional coordinates of all 9 atoms:
Sr 0.6640 0.6720 0.0000
Sr 0.0000 0.6693 0.3307
Sr 0.6640 0.0000 0.6720
Sr 0.3360 0.3280 0.0000
Ca 0.0000 0.0000 0.0000
Sr 0.6693 0.3307 0.3307
Sr 0.3360 0.0000 0.3280
Sr 0.0000 0.3307 0.6693
Sr 0.3307 0.6693 0.6693

***

# 10
DFT (PBE-GGA) results for crystalline Cs2ReGe2 at its relaxed geometry.

Results
E = -17.252 eV per cell
calculated formation energy = 1228 meV/atom

Cell: 3.6995 3.6995 12.2873 Å, 81.34 81.34 90.00°
Site moments in Bohr magnetons follow the coordinates.
Fractional coordinates of all 5 atoms:
Ge 0.2500 0.7500 0.5000  0.01
Cs 0.6072 0.6072 0.7857  0.02
Ge 0.7500 0.2500 0.5000  0.01
Cs 0.3928 0.3928 0.2143  0.02
Re 0.0000 0.0000 0.0000  2.44

***

# 11
DFT (PBE-GGA) results for crystalline Ac4HoS5 at its relaxed geometry.

Results
E = -61.266 eV per cell
uncorrected formation energy = -1.962 eV/atom

Cell: 6.0040 7.3184 7.3184 Å, 80.31 65.78 65.78°
Fractional coordinates of all 10 atoms:
Ho 0.0013 0.0000 0.0000
Ac 0.1987 0.2069 0.3977
S 0.2826 0.8156 0.6211
S 0.9037 0.3789 0.8156
Ac 0.8033 0.7931 0.6023
S 0.0982 0.6211 0.1844
Ac 0.5964 0.6023 0.2069
S 0.5012 0.0000 0.0000
S 0.7193 0.1844 0.3789
Ac 0.4056 0.3977 0.7931

***

# 12
DFT (PBE-GGA) results for crystalline LiSm2GaPd6 at its relaxed geometry.

Results
E = -51.177 eV per cell
calculated formation energy = -564 meV/atom

Cell: 5.6839 8.4118 8.4275 Å, 39.45 70.29 90.00°
Fractional coordinates of all 10 atoms:
Li 0.0000 0.0000 0.0000
Pd 0.7482 0.7607 0.5036
Pd 0.7480 0.2491 0.0158
Ga 0.5000 0.5000 0.0000
Pd 0.2520 0.7509 0.9842
Pd 0.2363 0.2491 0.0158
Pd 0.7637 0.7509 0.9842
Sm 0.7954 0.2060 0.4092
Sm 0.2046 0.7940 0.5908
Pd 0.2518 0.2393 0.4964

***

- Which of these has the lowest E?
  Tb5DyHoTm2

***

- Among the records above, which one has the highest E?
  RbAgHg4

***

- The highest E belongs to which entry?
  RbAgHg4

***

- Which formula does entry 7 have?
  VFe2HgBr